# Ba2AcErS4

An optimized crystal structure of Ba2AcErS4 (PBE, Alexandria via LeMat-Bulk).

abc: 4.2542 7.3911 7.5848
angles: 108.72 90.00 90.00
Atoms (fractional coordinates):
S: 0.0000 0.7601 0.2212
S: 0.5000 0.7794 0.7881
S: 0.5000 0.2206 0.2119
S: 0.0000 0.2399 0.7788
Ac: 0.5000 0.5000 0.0000
Ba: 0.5000 0.0000 0.5000
Ba: 0.0000 0.5000 0.5000
Er: 0.0000 0.0000 0.0000

## Properties
Space-group type = P2/m, No. 10
Calculated total energy = -5.62 eV/atom
ΔE_f (raw) = -1.990 eV/atom
DOS(E_F) = 3.61 states/eV/cell